VASP calculation (PBE) on crystalline RbNa2U2O7 at its relaxed geometry.

Cell lengths 10.4414, 10.4414, 10.4414 Å; angles 155.96, 155.96, 34.25 degrees
Closest atoms and distances in Å follow each position.
Element x y z (fractional)
Rb1 0.0000 0.0000 0.0000  12 O 3.07
Na1 0.2500 0.7500 0.5000  4 O 2.32
Na2 0.7500 0.2500 0.5000  4 O 2.32
U1 0.3913 0.3913 0.0000  6 O 2.00-2.17
U2 0.6087 0.6087 0.0000  6 O 2.00-2.17
O1 0.1085 0.6085 0.5000  2 U 2.17
O2 0.2912 0.2912 0.0000  1 U 2.00
O3 0.3915 0.8915 0.5000  2 U 2.17
O4 0.5000 0.5000 0.0000  2 U 2.17
O5 0.6085 0.1085 0.5000  2 U 2.17
O6 0.7088 0.7088 0.0000  1 U 2.00
O7 0.8915 0.3915 0.5000  2 U 2.17

Summary:
For the total moment, the calculation gives 1.00 μB per cell. Its uncorrected formation energy is -2717 meV per atom.